[1]
This record from Alexandria via LeMat-Bulk describes a relaxed Ac4Tl2CdAu crystal. The functional is PBE.

Unit cell a=5.7516 b=5.7516 c=9.9380 alpha=73.18 beta=73.18 gamma=60.00
Last column: nearest neighbours and their distance in Å.
Fractional coordinates of all 8 atoms:
Ac 0.3806 0.3806 0.8583  1 Au 3.36, 4 Tl 3.43-3.51, 3 Cd 3.58
Ac 0.8694 0.8694 0.3917  3 Au 3.47, 4 Tl 3.51-3.64, 1 Cd 3.67
Cd 0.0000 0.0000 0.0000  8 Ac 3.58-3.67, 6 Tl 3.98
Tl 0.7444 0.7444 0.7667  8 Ac 3.43-3.64
Au 0.5000 0.5000 0.5000  8 Ac 3.36-3.47
Ac 0.1306 0.1306 0.6083  3 Au 3.47, 4 Tl 3.51-3.64, 1 Cd 3.67
Tl 0.2556 0.2556 0.2333  8 Ac 3.43-3.64
Ac 0.6194 0.6194 0.1417  1 Au 3.36, 4 Tl 3.43-3.51, 3 Cd 3.58

Output
The mass density is 10.1 g cm⁻³. As for the raw total energy: -3.6038 eV per atom. As for the symmetry: R-3m (166).

=====

[2]
This record from Alexandria via LeMat-Bulk describes a relaxed AcTlCdAu crystal. The functional is PBE.

Unit cell a=5.3592 b=5.3592 c=5.3592 alpha=60.00 beta=60.00 gamma=60.00
Last column: nearest neighbours and their distance in Å.
Fractional coordinates of all 4 atoms:
Au 0.0000 0.0000 0.0000  4 Ac 3.28, 4 Cd 3.28
Tl 0.5000 0.5000 0.5000  4 Cd 3.28, 4 Ac 3.28
Cd 0.7500 0.7500 0.7500  4 Au 3.28, 4 Tl 3.28
Ac 0.2500 0.2500 0.2500  4 Tl 3.28, 4 Au 3.28

Output
The mass density is 11.3 g cm⁻³. As for the raw total energy: -3.0834 eV per atom. As for the symmetry: F-43m (216).

=====

[3]
This record from Alexandria via LeMat-Bulk describes a relaxed AcTmCdAu crystal. The functional is PBE.

Unit cell a=5.4049 b=5.4049 c=5.4049 alpha=60.00 beta=60.00 gamma=60.00
Last column: nearest neighbours and their distance in Å.
Fractional coordinates of all 4 atoms:
Tm 0.5000 0.5000 0.5000  4 Cd 3.31, 4 Au 3.31
Cd 0.7500 0.7500 0.7500  4 Tm 3.31, 4 Ac 3.31
Ac 0.0000 0.0000 0.0000  4 Au 3.31, 4 Cd 3.31
Au 0.2500 0.2500 0.2500  4 Ac 3.31, 4 Tm 3.31

Output
The mass density is 10.5 g cm⁻³. As for the raw total energy: -3.6653 eV per atom. As for the symmetry: F-43m (216).

=====

[4]
This record from Alexandria via LeMat-Bulk describes a relaxed AcTm2CdAu4 crystal. The functional is PBE.

Unit cell a=4.9632 b=4.9632 c=9.5983 alpha=75.02 beta=75.02 gamma=60.00
Last column: nearest neighbours and their distance in Å.
Fractional coordinates of all 8 atoms:
Ac 0.0000 0.0000 0.0000  8 Au 3.28-3.33
Tm 0.2304 0.2304 0.3088  7 Au 2.90-3.08
Tm 0.7696 0.7696 0.6912  7 Au 2.90-3.08
Au 0.8805 0.8805 0.3586  4 Tm 2.90-3.05, 3 Cd 3.14
Au 0.3952 0.3952 0.8144  1 Cd 2.88, 3 Tm 3.08
Au 0.6048 0.6048 0.1856  1 Cd 2.88, 3 Tm 3.08
Au 0.1195 0.1195 0.6414  4 Tm 2.90-3.05, 3 Cd 3.14
Cd 0.5000 0.5000 0.5000  8 Au 2.88-3.14

Output
The mass density is 12.4 g cm⁻³. As for the raw total energy: -4.1075 eV per atom. As for the symmetry: R-3m (166).

=====

[5]
This record from Alexandria via LeMat-Bulk describes a relaxed Ac2TmCdAu6 crystal. The functional is PBE.

Unit cell a=7.4806 b=7.4806 c=7.4806 alpha=60.00 beta=60.00 gamma=90.00
Last column: nearest neighbours and their distance in Å.
Fractional coordinates of all 10 atoms:
Au 0.7523 0.7523 0.4954  1 Cd 2.62, 1 Tm 2.67
Au 0.2477 0.2477 0.5046  1 Cd 2.62, 1 Tm 2.67
Ac 0.2500 0.7500 0.5000  12 Au 3.74
Au 0.2477 0.2477 0.0000  1 Cd 2.62, 1 Tm 2.67
Au 0.2477 0.7523 0.0000  1 Cd 2.62, 1 Tm 2.67
Ac 0.7500 0.2500 0.5000  12 Au 3.74
Au 0.7523 0.7523 0.0000  1 Cd 2.62, 1 Tm 2.67
Tm 0.5000 0.5000 0.0000  6 Au 2.67
Au 0.7523 0.2477 0.0000  1 Cd 2.62, 1 Tm 2.67
Cd 0.0000 0.0000 0.0000  6 Au 2.62

Output
The mass density is 10.8 g cm⁻³. As for the raw total energy: -3.5836 eV per atom. As for the symmetry: Fm-3m (225).

=====

[6]
This record from Alexandria via LeMat-Bulk describes a relaxed AcYCdAu crystal. The functional is PBE.

Unit cell a=5.4388 b=5.4388 c=5.4388 alpha=60.00 beta=60.00 gamma=60.00
Last column: nearest neighbours and their distance in Å.
Fractional coordinates of all 4 atoms:
Au 0.5000 0.5000 0.5000  4 Y 3.33, 4 Ac 3.33
Ac 0.2500 0.2500 0.2500  4 Au 3.33, 4 Cd 3.33
Cd 0.0000 0.0000 0.0000  4 Ac 3.33, 4 Y 3.33
Y 0.7500 0.7500 0.7500  4 Au 3.33, 4 Cd 3.33

Output
The mass density is 9.1 g cm⁻³. As for the raw total energy: -4.1792 eV per atom. As for the symmetry: F-43m (216).

=====

[7]
This record from Alexandria via LeMat-Bulk describes a relaxed AcZnCd2Au2 crystal. The functional is PBE.

Unit cell a=5.4345 b=5.4345 c=6.8208 alpha=113.48 beta=113.48 gamma=90.00
Last column: nearest neighbours and their distance in Å.
Fractional coordinates of all 6 atoms:
Zn 0.0000 0.0000 0.0000  2 Au 2.48
Cd 0.7500 0.2500 0.5000  4 Au 2.74
Au 0.7796 0.7796 0.5592  1 Zn 2.48, 4 Cd 2.74
Au 0.2204 0.2204 0.4408  1 Zn 2.48, 4 Cd 2.74
Cd 0.2500 0.7500 0.5000  4 Au 2.74
Ac 0.5000 0.5000 0.0000  2 Au 3.15

Output
The mass density is 9.1 g cm⁻³. As for the raw total energy: -2.4573 eV per atom. As for the symmetry: I4/mmm (139).

=====

[8]
This record from Alexandria via LeMat-Bulk describes a relaxed AcZnCdAu6 crystal. The functional is PBE.

Unit cell a=7.6625 b=9.5555 c=8.2194 alpha=125.54 beta=117.78 gamma=90.00
Last column: nearest neighbours and their distance in Å.
Fractional coordinates of all 18 atoms:
Au 0.0707 0.3880 0.7484  1 Zn 2.71, 3 Au 2.77-3.01, 1 Cd 2.89
Zn 0.5000 0.5000 0.0000  6 Au 2.51-2.71
Cd 0.5000 0.0000 0.5000  6 Au 2.76-2.89
Ac 0.7182 0.4682 0.4363  10 Au 3.15-3.39, 2 Zn 3.38
Cd 0.0000 0.0000 0.5000  6 Au 2.76-2.89
Au 0.5694 0.8194 0.1387  2 Zn 2.51, 2 Cd 2.76
Au 0.6777 0.3880 0.7484  1 Zn 2.71, 3 Au 2.77-3.01, 1 Cd 2.89
Au 0.3223 0.6120 0.2516  1 Zn 2.71, 3 Au 2.77-3.01, 1 Cd 2.89
Au 0.9293 0.1396 0.2516  1 Zn 2.71, 3 Au 2.77-3.01, 1 Cd 2.89
Au 0.0707 0.8604 0.7484  1 Zn 2.71, 3 Au 2.77-3.01, 1 Cd 2.89
Zn 0.5000 0.0000 0.0000  6 Au 2.51-2.71
Au 0.9293 0.6120 0.2516  1 Zn 2.71, 3 Au 2.77-3.01, 1 Cd 2.89
Au 0.9736 0.2236 0.9473  2 Cd 3.11, 8 Au 3.13-3.19, 1 Ac 3.38
Au 0.4306 0.1806 0.8613  2 Zn 2.51, 2 Cd 2.76
Au 0.6777 0.8604 0.7484  1 Zn 2.71, 3 Au 2.77-3.01, 1 Cd 2.89
Au 0.0264 0.7764 0.0527  2 Cd 3.11, 8 Au 3.13-3.19, 1 Ac 3.38
Au 0.3223 0.1396 0.2516  1 Zn 2.71, 3 Au 2.77-3.01, 1 Cd 2.89
Ac 0.2818 0.5318 0.5637  10 Au 3.15-3.39, 2 Zn 3.38

Output
The mass density is 13.1 g cm⁻³. As for the raw total energy: -3.1389 eV per atom. As for the symmetry: Imma (74).

=====

[9]
This record from Alexandria via LeMat-Bulk describes a relaxed Ac2ZnCdAu6 crystal. The functional is PBE.

Unit cell a=7.2781 b=7.2155 c=7.2733 alpha=80.73 beta=44.66 gamma=97.51
Last column: nearest neighbours and their distance in Å.
Fractional coordinates of all 10 atoms:
Ac 0.7492 0.2140 0.5354  7 Au 3.24-3.56
Au 0.7358 0.2251 0.0113  1 Zn 2.64, 2 Au 2.76-2.77, 1 Cd 2.81
Au 0.2333 0.2248 0.5124  1 Zn 2.64, 2 Au 2.76-2.77, 1 Cd 2.81
Au 0.2473 0.4027 0.8438  1 Zn 2.76, 1 Cd 2.84, 4 Au 2.96-3.06
Au 0.2642 0.7749 0.9887  1 Zn 2.64, 2 Au 2.76-2.77, 1 Cd 2.81
Ac 0.2508 0.7860 0.4646  7 Au 3.24-3.56
Cd 0.5000 0.5000 0.0000  6 Au 2.81-2.84
Zn 0.0000 0.0000 0.0000  6 Au 2.64-2.76
Au 0.7667 0.7752 0.4876  1 Zn 2.64, 2 Au 2.76-2.77, 1 Cd 2.81
Au 0.7527 0.5973 0.1562  1 Zn 2.76, 1 Cd 2.84, 4 Au 2.96-3.06

Output
The mass density is 12.2 g cm⁻³. As for the raw total energy: -3.4919 eV per atom. As for the symmetry: P-1 (2).

=====

[10]
This record from Alexandria via LeMat-Bulk describes a relaxed Ac3ZnCd2Au6 crystal. The functional is PBE.

Unit cell a=6.3653 b=6.3653 c=8.8694 alpha=90.00 beta=90.00 gamma=120.00
Last column: nearest neighbours and their distance in Å.
Fractional coordinates of all 12 atoms:
Au 0.3564 0.1782 0.7078  1 Zn 2.69, 2 Au 2.96, 1 Cd 2.98
Cd 0.3333 0.6667 0.0173  3 Au 2.98
Au 0.1782 0.3564 0.2922  1 Zn 2.69, 2 Au 2.96, 1 Cd 2.98
Au 0.1782 0.8218 0.2922  1 Zn 2.69, 2 Au 2.96, 1 Cd 2.98
Au 0.8218 0.6436 0.7078  1 Zn 2.69, 2 Au 2.96, 1 Cd 2.98
Au 0.8218 0.1782 0.7078  1 Zn 2.69, 2 Au 2.96, 1 Cd 2.98
Cd 0.6667 0.3333 0.9827  3 Au 2.98
Ac 0.6667 0.3333 0.3768  9 Au 3.27-3.40, 1 Cd 3.50
Zn 0.0000 0.0000 0.5000  6 Au 2.69
Ac 0.3333 0.6667 0.6232  9 Au 3.27-3.40, 1 Cd 3.50
Au 0.6436 0.8218 0.2922  1 Zn 2.69, 2 Au 2.96, 1 Cd 2.98
Ac 0.0000 0.0000 0.0000  6 Au 3.25

Output
The mass density is 11.5 g cm⁻³. As for the raw total energy: -3.4366 eV per atom. As for the symmetry: P-3m1 (164).

=====

[11]
This record from Alexandria via LeMat-Bulk describes a relaxed AcZnCd8Au2 crystal. The functional is PBE.

Unit cell a=5.1910 b=5.1910 c=11.9147 alpha=99.36 beta=99.36 gamma=66.73
Last column: nearest neighbours and their distance in Å.
Fractional coordinates of all 12 atoms:
Cd 0.7459 0.2451 0.7999  1 Zn 2.77, 3 Cd 2.85-3.05, 1 Au 2.89
Ac 0.0000 0.0000 0.5000  6 Au 3.16-3.34, 2 Cd 3.40
Cd 0.6835 0.6835 0.0267  1 Zn 2.82, 3 Cd 3.12-3.16
Cd 0.2451 0.7459 0.7999  1 Zn 2.77, 3 Cd 2.85-3.05, 1 Au 2.89
Cd 0.2541 0.7549 0.2001  1 Zn 2.77, 3 Cd 2.85-3.05, 1 Au 2.89
Au 0.6322 0.6322 0.4079  4 Cd 2.89-2.94, 1 Ac 3.16
Au 0.3678 0.3678 0.5921  4 Cd 2.89-2.94, 1 Ac 3.16
Cd 0.7124 0.7124 0.6574  2 Au 2.92-2.94, 4 Cd 3.05-3.12
Zn 0.0000 0.0000 0.0000  6 Cd 2.77-2.82
Cd 0.3165 0.3165 0.9733  1 Zn 2.82, 3 Cd 3.12-3.16
Cd 0.7549 0.2541 0.2001  1 Zn 2.77, 3 Cd 2.85-3.05, 1 Au 2.89
Cd 0.2876 0.2876 0.3426  2 Au 2.92-2.94, 4 Cd 3.05-3.12

Output
The mass density is 9.1 g cm⁻³. As for the raw total energy: -1.7736 eV per atom. As for the symmetry: C2/m (12).

=====

[12]
This record from Alexandria via LeMat-Bulk describes a relaxed Ac2Zn4Cd3Au crystal. The functional is PBE.

Unit cell a=4.6700 b=4.6700 c=10.8383 alpha=90.00 beta=90.00 gamma=90.00
Last column: nearest neighbours and their distance in Å.
Fractional coordinates of all 10 atoms:
Cd 0.5000 0.0000 0.8712  5 Zn 2.65-2.72
Zn 0.0000 0.0000 0.0000  4 Cd 2.72
Cd 0.0000 0.5000 0.1288  5 Zn 2.65-2.72
Au 0.5000 0.5000 0.5000  4 Zn 2.71
Zn 0.5000 0.0000 0.6268  3 Cd 2.65-2.71, 2 Au 2.71
Zn 0.5000 0.5000 0.0000  4 Cd 2.72
Cd 0.0000 0.0000 0.5000  4 Zn 2.71
Ac 0.5000 0.0000 0.2524  8 Zn 3.55-3.60, 6 Cd 3.56, 2 Au 3.56
Zn 0.0000 0.5000 0.3732  3 Cd 2.65-2.71, 2 Au 2.71
Ac 0.0000 0.5000 0.7476  8 Zn 3.55-3.60, 2 Au 3.56, 6 Cd 3.56

Output
The mass density is 8.8 g cm⁻³. As for the raw total energy: -2.2400 eV per atom. As for the symmetry: P-4m2 (115).